# Pm2PbO PBE relaxed
# - Total magnetization: 0.000 μB per atom
# - SG: R-3m (166)
# - Formation energy without anion corrections: -152.67 kJ/mol of atoms
data_Pm2PbO
_chemical_formula_sum 'Pm2 Pb1 O1'
_cell_length_a 8.174
_cell_length_b 8.174
_cell_length_c 8.174
_cell_angle_alpha 26.10
_cell_angle_beta 26.10
_cell_angle_gamma 26.10
_space_group_name_H-M_alt 'P 1'
_space_group_IT_number 1
loop_
_space_group_symop_operation_xyz
'x,y,z'
loop_
_atom_site_label
_atom_site_fract_x
_atom_site_fract_y
_atom_site_fract_z
Pm1 0.223 0.223 0.223
Pm2 0.777 0.777 0.777
Pb1 0.000 0.000 0.000
O1 0.500 0.500 0.500